[1]
SmBr2 | PBE | relaxed

```
SmBr2
1.0
-2.472 2.405 1.952
-0.690 -4.895 5.156
10.728 5.570 6.725
Br Sm
8 4
direct
0.750 0.783 0.455 Br
0.250 0.217 0.545 Br
0.250 0.760 0.210 Br
0.250 0.283 0.045 Br
0.250 0.740 0.710 Br
0.750 0.240 0.790 Br
0.750 0.717 0.955 Br
0.750 0.260 0.290 Br
0.250 0.998 0.890 Sm
0.750 0.002 0.110 Sm
0.250 0.502 0.390 Sm
0.750 0.498 0.610 Sm
```

Results
Calculated total energy ... -4.30 eV/atom
Total magnetic moment ... 3.67 μB/cell
Crystal system ... orthorhombic
Formation energy (no corrections) ... -1607 meV per atom
SG ... Pnma (62)

---

[2]
PaPd | PBE | relaxed

```
PaPd
1.0
4.172 0.000 2.409
1.391 3.934 2.409
0.000 0.000 4.818
Pa Pd
2 2
direct
0.500 0.500 0.500 Pa
0.750 0.750 0.750 Pa
0.250 0.250 0.250 Pd
0.000 0.000 0.000 Pd
```

Results
ΔH_f (0 K) ... -0.509 eV per atom
Calculated total energy ... -7.85 eV/atom
Total magnetic moment ... 2.07 μB/cell
Crystal system ... cubic
SG ... Fd-3m (227)

---

[3]
SmDy2Er3Sb6 | PBE | relaxed

```
SmDy2Er3Sb6
1.0
-3.229 2.820 0.910
-5.344 -4.379 -5.392
0.228 -5.713 7.957
Sm Dy Er Sb
1 2 3 6
direct
0.500 0.000 0.000 Sm
0.833 0.667 0.666 Dy
0.167 0.333 0.334 Dy
0.500 0.500 0.000 Er
0.834 0.167 0.668 Er
0.166 0.833 0.332 Er
0.331 0.917 0.663 Sb
0.666 0.584 0.332 Sb
0.669 0.083 0.337 Sb
0.000 0.255 0.000 Sb
0.000 0.745 0.000 Sb
0.334 0.416 0.668 Sb
```

Results
Calculated total energy ... -5.48 eV/atom
Total magnetic moment ... 0.00 μB/cell
Crystal system ... monoclinic
Formation energy (no corrections) ... -1119 meV per atom
SG ... C2/m (12)

---

[4]
NaCd2IO6 | PBE | relaxed

```
NaCd2IO6
1.0
5.895 0.264 0.190
2.969 5.100 0.190
2.969 1.796 4.777
Na Cd I O
1 2 1 6
direct
0.492 0.492 0.492 Na
0.222 0.222 0.222 Cd
0.712 0.712 0.712 Cd
0.007 0.007 0.007 I
0.348 0.101 0.811 O
0.101 0.811 0.348 O
0.903 0.234 0.670 O
0.670 0.903 0.234 O
0.811 0.348 0.101 O
0.234 0.670 0.903 O
```

Results
Calculated total energy ... -4.35 eV/atom
Total magnetic moment ... 0.00 μB/cell
Crystal system ... trigonal
Formation energy (no corrections) ... -909 meV per atom
SG ... R3 (146)

---

[5]
MoIrW | PBE | relaxed

```
MoIrW
1.0
4.973 0.003 0.000
2.806 4.106 0.000
-3.890 -2.054 2.320
Ir Mo W
1 1 1
direct
0.997 0.997 0.000 Ir
0.673 0.673 0.000 Mo
0.330 0.330 0.000 W
```

Results
ΔH_f (0 K) ... 0.182 eV per atom
Calculated total energy ... -10.70 eV/atom
Total magnetic moment ... 0.00 μB/cell
Crystal system ... tetragonal
SG ... I4mm (107)

---

[6]
NdScCd14 | PBE | relaxed

```
NdScCd14
1.0
6.593 -0.014 0.000
0.014 6.593 0.000
0.000 0.000 8.455
Nd Sc Cd
1 1 14
direct
0.875 0.875 0.500 Nd
0.375 0.375 0.500 Sc
0.875 0.875 0.000 Cd
0.375 0.375 0.000 Cd
0.875 0.375 0.500 Cd
0.875 0.375 0.000 Cd
0.375 0.875 0.500 Cd
0.375 0.875 0.000 Cd
0.618 0.132 0.244 Cd
0.618 0.132 0.756 Cd
0.132 0.618 0.244 Cd
0.132 0.618 0.756 Cd
0.618 0.618 0.244 Cd
0.618 0.618 0.756 Cd
0.132 0.132 0.244 Cd
0.132 0.132 0.756 Cd
```

Results
ΔH_f (0 K) ... -0.123 eV per atom
Calculated total energy ... -1.62 eV/atom
Total magnetic moment ... 0.00 μB/cell
Crystal system ... tetragonal
SG ... P4/mmm (123)

---

[7]
LaPuTh2P4 | PBE | relaxed

```
LaPuTh2P4
1.0
-0.215 2.792 -3.076
-6.412 -2.597 -1.909
-5.180 3.508 3.547
La Pu Th P
1 1 2 4
direct
0.000 0.500 0.500 La
0.500 0.500 0.000 Pu
0.000 0.000 0.000 Th
0.500 0.000 0.500 Th
0.000 0.749 0.757 P
0.000 0.251 0.243 P
0.500 0.755 0.243 P
0.500 0.245 0.757 P
```

Results
ΔH_f (0 K) ... -1.467 eV per atom
Calculated total energy ... -8.43 eV/atom
Total magnetic moment ... 5.59 μB/cell
Crystal system ... monoclinic
SG ... P2/m (10)

---

[8]
LiCaTeSeF | PBE | relaxed

```
LiCaTeSeF
1.0
5.799 0.000 -0.007
0.000 4.433 0.000
-2.336 0.000 5.494
Li Ca Te Se F
1 1 1 1 1
direct
0.970 0.000 0.618 Li
0.160 0.500 0.035 Ca
0.628 0.500 0.541 Te
0.122 0.500 0.511 Se
0.131 0.000 0.964 F
```

Results
Calculated total energy ... -4.24 eV/atom
Total magnetic moment ... 0.00 μB/cell
Crystal system ... monoclinic
Formation energy (no corrections) ... -1762 meV per atom
SG ... Pm (6)

---

What did the sixth record say?
NdScCd14 | PBE | relaxed

```
NdScCd14
1.0
6.593 -0.014 0.000
0.014 6.593 0.000
0.000 0.000 8.455
Nd Sc Cd
1 1 14
direct
0.875 0.875 0.500 Nd
0.375 0.375 0.500 Sc
0.875 0.875 0.000 Cd
0.375 0.375 0.000 Cd
0.875 0.375 0.500 Cd
0.875 0.375 0.000 Cd
0.375 0.875 0.500 Cd
0.375 0.875 0.000 Cd
0.618 0.132 0.244 Cd
0.618 0.132 0.756 Cd
0.132 0.618 0.244 Cd
0.132 0.618 0.756 Cd
0.618 0.618 0.244 Cd
0.618 0.618 0.756 Cd
0.132 0.132 0.244 Cd
0.132 0.132 0.756 Cd
```

Results
ΔH_f (0 K) ... -0.123 eV per atom
Calculated total energy ... -1.62 eV/atom
Total magnetic moment ... 0.00 μB/cell
Crystal system ... tetragonal
SG ... P4/mmm (123)

---

> Number 2 is which compound?

PaPd